Crystalline BeCI2 at its relaxed geometry. Source: Alexandria via LeMat-Bulk, functional PBE-GGA.

Geometry as POSCAR:
```
BeCI2
1.0
0.000 3.415 3.415
3.415 0.000 3.415
3.415 3.415 0.000
Be C I
1 1 2
direct
0.000 0.000 0.000
0.500 0.500 0.500
0.250 0.250 0.250
0.750 0.750 0.750
```

Values from the calculation:
raw formation energy	2.051	eV/atom
energy above the lowest structure with this stoichiometry	0.4633	eV per atom